# 1
First-principles (PBE-GGA) data for a geometry-optimized ZnTcGe structure, as listed in Alexandria via LeMat-Bulk.

a = 5.342 Å, b = 12.514 Å, c = 12.629 Å
α = 90.00°, β = 90.00°, γ = 90.00°
Space group Fddd (No. 70, origin choice 2)
Asymmetric unit:
Zn1 0.125 0.125 0.335 [16 per cell]
Tc1 0.000 0.000 0.500 [16 per cell]
Ge1 0.113 0.375 0.375 [16 per cell]

Summary:
**E_form**: 360 meV/atom
**Energy relative to the lowest polymorph listed for this composition**: 396 meV/atom
**D(E_F)**: 2.3 states/eV/f.u.

=====

# 2
First-principles (PBE-GGA) data for a geometry-optimized ZnTc5Ge6 structure, as listed in Alexandria via LeMat-Bulk.

a = 4.369 Å, b = 12.968 Å, c = 6.220 Å
α = 90.00°, β = 90.20°, γ = 90.00°
Space group C2/m (No. 12)
Asymmetric unit:
Zn1 0.000 0.000 0.000 [2 per cell]
Tc1 0.000 0.000 0.500 [2 per cell]
Tc2 0.000 0.337 0.500 [4 per cell]
Tc3 0.000 0.339 0.000 [4 per cell]
Ge1 0.000 0.173 0.259 [8 per cell]
Ge2 0.001 0.500 0.734 [4 per cell]

Summary:
**E_form**: 5 meV/atom
**D(E_F)**: 8.4 states/eV/f.u.

=====

# 3
First-principles (PBE-GGA) data for a geometry-optimized ZnTc2Ge structure, as listed in Alexandria via LeMat-Bulk.

a = 3.055 Å, b = 3.055 Å, c = 6.189 Å
α = 90.00°, β = 90.00°, γ = 90.00°
Space group P4/mmm (No. 123)
Asymmetric unit:
Zn1 0.000 0.000 0.000 [1 per cell]
Tc1 0.500 0.500 0.272 [2 per cell]
Ge1 0.000 0.000 0.500 [1 per cell]

Summary:
**E_form**: 107 meV/atom
**Energy relative to the lowest polymorph listed for this composition**: 3 meV/atom
**D(E_F)**: 4.5 states/eV/f.u.

=====

# 4
First-principles (PBE-GGA) data for a geometry-optimized ZrZn2TcGe structure, as listed in Alexandria via LeMat-Bulk.

a = 4.543 Å, b = 4.543 Å, c = 4.705 Å
α = 90.00°, β = 90.00°, γ = 90.00°
Space group P4/mmm (No. 123)
Asymmetric unit:
Zr1 0.000 0.000 0.000 [1 per cell]
Zn1 0.000 0.500 0.500 [2 per cell]
Tc1 0.500 0.500 0.000 [1 per cell]
Ge1 0.500 0.500 0.500 [1 per cell]

Summary:
**E_form**: 647 meV/atom
**D(E_F)**: 4.0 states/eV/f.u.

=====

# 5
First-principles (PBE-GGA) data for a geometry-optimized Zr3Tc2Ge3 structure, as listed in Alexandria via LeMat-Bulk.

a = 7.8074 Å, b = 7.8074 Å, c = 5.3166 Å
α = 90.00°, β = 90.00°, γ = 120.00°
Space group P6_3/mcm (No. 193)
Asymmetric unit:
Zr1 0.0000 0.2522 0.2500 [6 per cell]
Tc1 0.3333 0.6667 0.0000 [4 per cell]
Ge1 0.0000 0.3962 0.7500 [6 per cell]

Summary:
**E_form**: -549 meV/atom
**D(E_F)**: 7.1 states/eV/f.u.

=====

# 6
First-principles (PBE-GGA) data for a geometry-optimized Zr4Tc2Ge structure, as listed in Alexandria via LeMat-Bulk.

a = 4.975 Å, b = 4.975 Å, c = 13.051 Å
α = 90.00°, β = 90.00°, γ = 90.00°
Space group I4/mmm (No. 139)
Asymmetric unit:
Zr1 0.000 0.000 0.201 [4 per cell]
Zr2 0.000 0.500 0.000 [4 per cell]
Tc1 0.000 0.000 0.388 [4 per cell]
Ge1 0.000 0.000 0.000 [2 per cell]

Summary:
**E_form**: 480 meV/atom
**D(E_F)**: 9.2 states/eV/f.u.

=====

# 7
First-principles (PBE-GGA) data for a geometry-optimized Zr6Tc5Ge structure, as listed in Alexandria via LeMat-Bulk.

a = 4.645 Å, b = 6.674 Å, c = 14.003 Å
α = 90.00°, β = 90.00°, γ = 90.00°
Space group Immm (No. 71)
Asymmetric unit:
Zr1 0.000 0.240 0.000 [4 per cell]
Zr2 0.000 0.254 0.330 [8 per cell]
Tc1 0.000 0.000 0.168 [4 per cell]
Tc2 0.000 0.500 0.162 [4 per cell]
Tc3 0.000 0.500 0.500 [2 per cell]
Ge1 0.000 0.000 0.500 [2 per cell]

Summary:
**E_form**: -421 meV/atom
**D(E_F)**: 8.5 states/eV/f.u.

=====

# 8
First-principles (PBE-GGA) data for a geometry-optimized ZrTc3Ge structure, as listed in Alexandria via LeMat-Bulk.

a = 4.801 Å, b = 4.801 Å, c = 4.801 Å
α = 90.00°, β = 90.00°, γ = 90.00°
Space group Pm-3m (No. 221)
Asymmetric unit:
Zr1 0.000 0.000 0.000 [1 per cell]
Tc1 0.000 0.000 0.500 [3 per cell]
Ge1 0.500 0.500 0.500 [1 per cell]

Summary:
**E_form**: 1941 meV/atom
**Energy relative to the lowest polymorph listed for this composition**: 1212 meV/atom
**D(E_F)**: 4.6 states/eV/f.u.

=====

# 9
First-principles (PBE-GGA) data for a geometry-optimized Zr2TcGe structure, as listed in Alexandria via LeMat-Bulk.

a = 4.530 Å, b = 4.530 Å, c = 3.577 Å
α = 90.00°, β = 90.00°, γ = 90.00°
Space group P4/mmm (No. 123)
Asymmetric unit:
Zr1 0.000 0.500 0.000 [2 per cell]
Tc1 0.000 0.000 0.500 [1 per cell]
Ge1 0.500 0.500 0.500 [1 per cell]

Summary:
**E_form**: -442 meV/atom
**D(E_F)**: 3.1 states/eV/f.u.

=====

# 10
First-principles (PBE-GGA) data for a geometry-optimized Zr2TcGe structure, as listed in Alexandria via LeMat-Bulk.

a = 7.438 Å, b = 7.438 Å, c = 5.701 Å
α = 90.00°, β = 90.00°, γ = 90.00°
Space group I-42d (No. 122)
Asymmetric unit:
Zr1 0.227 0.250 0.125 [8 per cell]
Tc1 0.000 0.000 0.000 [4 per cell]
Ge1 0.000 0.000 0.500 [4 per cell]

Summary:
**E_form**: 100 meV/atom
**D(E_F)**: 3.3 states/eV/f.u.

=====

# 11
First-principles (PBE-GGA) data for a geometry-optimized Zr2TcGe2 structure, as listed in Alexandria via LeMat-Bulk.

a = 6.706 Å, b = 6.706 Å, c = 3.966 Å
α = 90.00°, β = 90.00°, γ = 90.00°
Space group P4/mbm (No. 127)
Asymmetric unit:
Zr1 0.172 0.328 0.000 [4 per cell]
Tc1 0.000 0.000 0.500 [2 per cell]
Ge1 0.135 0.635 0.500 [4 per cell]

Summary:
**E_form**: -688 meV/atom
**Energy relative to the lowest polymorph listed for this composition**: 0 meV/atom
**D(E_F)**: 3.5 states/eV/f.u.

=====

# 12
First-principles (PBE-GGA) data for a geometry-optimized ZrTc3Ge structure, as listed in Alexandria via LeMat-Bulk.

a = 4.546 Å, b = 4.546 Å, c = 4.546 Å
α = 90.00°, β = 90.00°, γ = 90.00°
Space group Pm-3m (No. 221)
Asymmetric unit:
Zr1 0.000 0.000 0.000 [1 per cell]
Tc1 0.000 0.500 0.500 [3 per cell]
Ge1 0.500 0.500 0.500 [1 per cell]

Summary:
**E_form**: 729 meV/atom
**Energy relative to the lowest polymorph listed for this composition**: 0 meV/atom
**D(E_F)**: 6.8 states/eV/f.u.